First-principles (PBE+U) data for an optimized crystal structure of PaMnCd4O8, as listed in Alexandria.

Cell and atoms, written as CIF:
```
data_PaMnCd4O8
_chemical_formula_sum 'Pa1 Mn1 Cd4 O8'
_space_group_name_H-M_alt 'P 1'
_space_group_IT_number 1
_cell_length_a 6.736
_cell_length_b 6.736
_cell_length_c 6.736
_cell_angle_alpha 58.32
_cell_angle_beta 58.32
_cell_angle_gamma 58.32
loop_
_space_group_symop_operation_xyz
'x,y,z'
loop_
_atom_site_label
_atom_site_type_symbol
_atom_site_fract_x
_atom_site_fract_y
_atom_site_fract_z
Pa1 Pa 0.000 0.000 0.000
Mn1 Mn 0.630 0.630 0.630
Cd1 Cd 0.145 0.630 0.630
Cd2 Cd 0.265 0.265 0.265
Cd3 Cd 0.630 0.145 0.630
Cd4 Cd 0.630 0.630 0.145
O1 O 0.389 0.871 0.871
O2 O 0.396 0.396 0.396
O3 O 0.415 0.415 0.855
O4 O 0.415 0.855 0.415
O5 O 0.855 0.415 0.415
O6 O 0.871 0.389 0.871
O7 O 0.871 0.871 0.389
O8 O 0.875 0.875 0.875
```

Values from the calculation:
Raw total energy ... -5.89 eV per atom
Crystal system ... trigonal
Spin magnetization ... 4.00 μB/f.u.
Theoretical density ... 6.9 g/cm3